Entry 1:
This record from Alexandria via LeMat-Bulk describes LaYTe3 after structural relaxation. The functional is GGA-PBE.

Results
Energy relative to the lowest polymorph listed for this composition = 0.0 kJ per mole of atoms
Total moment = 0.00 μB per cell

Lattice parameters (Å, degrees): 4.376 14.300 10.903 90.00 90.00 90.00
Space group Cmcm (No. 63)
Asymmetric unit:
La  0.000  0.250  0.250 (multiplicity 4)
Y  0.000  0.000  0.000 (multiplicity 4)
Te  0.000  0.088  0.750 (multiplicity 4)
Te  0.000  0.354  0.562 (multiplicity 8)



Entry 2:
This record from Alexandria via LeMat-Bulk describes LaYTe2 after structural relaxation. The functional is GGA-PBE.

Results
Energy relative to the lowest polymorph listed for this composition = 14.2 kJ per mole of atoms
Total moment = 5.07 μB per cell

Lattice parameters (Å, degrees): 7.735 7.735 7.735 90.00 90.00 90.00
Space group Fm-3m (No. 225)
Asymmetric unit:
La  0.000  0.000  0.000 (multiplicity 4)
Y  0.000  0.000  0.500 (multiplicity 4)
Te  0.250  0.250  0.250 (multiplicity 8)



Entry 3:
This record from Alexandria via LeMat-Bulk describes La4Y3Te8 after structural relaxation. The functional is GGA-PBE.

Results
DFT total energy = -5.58 eV per atom
Total moment = 0.00 μB per cell

Lattice parameters (Å, degrees): 8.7883 8.7883 24.9859 90.00 90.00 120.00
Space group R-3m (No. 166, hexagonal axes)
Asymmetric unit:
La  0.0000  0.0000  0.0000 (multiplicity 3)
La  0.0000  0.0000  0.1445 (multiplicity 6)
La  0.0000  0.0000  0.5000 (multiplicity 3)
Y  0.0000  0.5000  0.0000 (multiplicity 9)
Te  0.0000  0.0000  0.2682 (multiplicity 6)
Te  0.0127  0.5064  0.2557 (multiplicity 18)



Entry 4:
This record from Alexandria via LeMat-Bulk describes LaYTe2 after structural relaxation. The functional is GGA-PBE.

Results
Energy relative to the lowest polymorph listed for this composition = 3.3 kJ per mole of atoms
Total moment = 0.00 μB per cell

Lattice parameters (Å, degrees): 4.484 4.484 6.332 90.00 90.00 90.00
Space group P4/mmm (No. 123)
Asymmetric unit:
La  0.000  0.000  0.000 (multiplicity 1)
Y  0.500  0.500  0.500 (multiplicity 1)
Te  0.000  0.000  0.500 (multiplicity 1)
Te  0.500  0.500  0.000 (multiplicity 1)



Entry 5:
This record from Alexandria via LeMat-Bulk describes LaY2Te after structural relaxation. The functional is GGA-PBE.

Results
DFT total energy = -5.68 eV per atom
Total moment = 0.00 μB per cell

Lattice parameters (Å, degrees): 4.763 4.763 10.655 90.00 90.00 90.00
Space group I-4m2 (No. 119)
Asymmetric unit:
La  0.000  0.000  0.000 (multiplicity 2)
Y  0.000  0.000  0.500 (multiplicity 2)
Y  0.000  0.500  0.250 (multiplicity 2)
Te  0.000  0.500  0.750 (multiplicity 2)



Entry 6:
This record from Alexandria via LeMat-Bulk describes LaY6Te8 after structural relaxation. The functional is GGA-PBE.

Results
Energy relative to the lowest polymorph listed for this composition = 13.3 kJ per mole of atoms
Total moment = 0.00 μB per cell

Lattice parameters (Å, degrees): 9.3863 9.3863 18.5060 90.00 90.00 120.00
Space group R-3 (No. 148, hexagonal axes)
Asymmetric unit:
La  0.0000  0.0000  0.0000 (multiplicity 3)
Y  0.0061  0.6227  0.0744 (multiplicity 18)
Te  0.0000  0.0000  0.3235 (multiplicity 6)
Te  0.0072  0.2882  0.0935 (multiplicity 18)



Entry 7:
This record from Alexandria via LeMat-Bulk describes LaY2Te after structural relaxation. The functional is GGA-PBE.

Results
DFT total energy = -5.75 eV per atom
Total moment = 0.00 μB per cell

Lattice parameters (Å, degrees): 3.852 5.533 11.831 90.00 90.00 90.00
Space group Imm2 (No. 44)
Asymmetric unit:
La  0.000  0.000  0.000 (multiplicity 2)
Y  0.000  0.000  0.440 (multiplicity 2)
Y  0.000  0.500  0.216 (multiplicity 2)
Te  0.000  0.500  0.731 (multiplicity 2)



Entry 8:
This record from Alexandria via LeMat-Bulk describes La2YZnTe5 after structural relaxation. The functional is GGA-PBE.

Results
DFT total energy = -4.99 eV per atom
Total moment = 0.00 μB per cell

Lattice parameters (Å, degrees): 4.367 19.361 13.299 90.00 90.00 90.00
Space group Cmc2_1 (No. 36)
Asymmetric unit:
La  0.000  0.115  0.000 (multiplicity 4)
La  0.000  0.128  0.626 (multiplicity 4)
Y  0.000  0.198  0.329 (multiplicity 4)
Zn  0.000  0.437  0.768 (multiplicity 4)
Te  0.000  0.044  0.379 (multiplicity 4)
Te  0.000  0.288  0.990 (multiplicity 4)
Te  0.000  0.312  0.665 (multiplicity 4)
Te  0.000  0.357  0.317 (multiplicity 4)
Te  0.000  0.499  0.095 (multiplicity 4)



Entry 9:
This record from Alexandria via LeMat-Bulk describes La5ZnTe4 after structural relaxation. The functional is GGA-PBE.

Results
DFT total energy = -5.17 eV per atom
Total moment = 0.00 μB per cell

Lattice parameters (Å, degrees): 10.187 10.187 6.449 90.00 90.00 90.00
Space group I4/m (No. 87)
Asymmetric unit:
La  0.000  0.000  0.000 (multiplicity 2)
La  0.099  0.292  0.500 (multiplicity 8)
Zn  0.000  0.000  0.500 (multiplicity 2)
Te  0.096  0.302  0.000 (multiplicity 8)



Entry 10:
This record from Alexandria via LeMat-Bulk describes LaZnTe2 after structural relaxation. The functional is GGA-PBE.

Results
DFT total energy = -3.63 eV per atom
Total moment = 0.00 μB per cell

Lattice parameters (Å, degrees): 7.700 7.700 7.700 90.00 90.00 90.00
Space group F-43m (No. 216)
Asymmetric unit:
La  0.000  0.000  0.000 (multiplicity 4)
Zn  0.250  0.250  0.750 (multiplicity 4)
Te  0.000  0.000  0.500 (multiplicity 4)
Te  0.250  0.250  0.250 (multiplicity 4)



Entry 11:
This record from Alexandria via LeMat-Bulk describes LaZnTe after structural relaxation. The functional is GGA-PBE.

Results
Energy relative to the lowest polymorph listed for this composition = 1.2 kJ per mole of atoms
Total moment = 1.14 μB per cell

Lattice parameters (Å, degrees): 3.955 3.955 10.485 90.00 90.00 90.00
Space group I4mm (No. 107)
Asymmetric unit:
La  0.000  0.000  0.000 (multiplicity 2)
Zn  0.000  0.000  0.672 (multiplicity 2)
Te  0.000  0.000  0.322 (multiplicity 2)



Entry 12:
This record from Alexandria via LeMat-Bulk describes LaZnTe after structural relaxation. The functional is GGA-PBE.

Results
Energy relative to the lowest polymorph listed for this composition = 0.0 kJ per mole of atoms
Total moment = 0.00 μB per cell

Lattice parameters (Å, degrees): 4.8387 4.8387 4.0672 90.00 90.00 120.00
Space group P3m1 (No. 156)
Asymmetric unit:
La  0.0000  0.0000  0.0000 (multiplicity 1)
Zn  0.3333  0.6667  0.6198 (multiplicity 1)
Te  0.6667  0.3333  0.4804 (multiplicity 1)



Entry 13:
This record from Alexandria via LeMat-Bulk describes La2ZnTe2 after structural relaxation. The functional is GGA-PBE.

Results
Energy relative to the lowest polymorph listed for this composition = 0.0 kJ per mole of atoms
Total moment = 0.00 μB per cell

Lattice parameters (Å, degrees): 8.610 8.610 4.262 90.00 90.00 90.00
Space group P4/mbm (No. 127)
Asymmetric unit:
La  0.155  0.345  0.000 (multiplicity 4)
Zn  0.000  0.000  0.000 (multiplicity 2)
Te  0.148  0.648  0.500 (multiplicity 4)



Entry 14:
This record from Alexandria via LeMat-Bulk describes LaZnTe2 after structural relaxation. The functional is GGA-PBE.

Results
DFT total energy = -3.92 eV per atom
Total moment = 0.00 μB per cell

Lattice parameters (Å, degrees): 6.510 8.399 8.456 90.00 90.00 90.00
Space group Fmmm (No. 69)
Asymmetric unit:
La  0.000  0.000  0.000 (multiplicity 4)
Zn  0.000  0.000  0.500 (multiplicity 4)
Te  0.250  0.250  0.250 (multiplicity 8)



Entry 15:
This record from Alexandria via LeMat-Bulk describes LaZnTe2 after structural relaxation. The functional is GGA-PBE.

Results
DFT total energy = -3.94 eV per atom
Total moment = 0.00 μB per cell

Lattice parameters (Å, degrees): 7.392 7.388 4.048 90.00 90.19 90.00
Space group C2/m (No. 12)
Asymmetric unit:
La  0.000  0.000  0.000 (multiplicity 2)
Zn  0.000  0.500  0.000 (multiplicity 2)
Te  0.250  0.250  0.500 (multiplicity 4)



Entry 16:
This record from Alexandria via LeMat-Bulk describes LaZn3Te after structural relaxation. The functional is GGA-PBE.

Results
Energy relative to the lowest polymorph listed for this composition = 0.0 kJ per mole of atoms
Total moment = 0.00 μB per cell

Lattice parameters (Å, degrees): 5.198 5.198 5.198 90.00 90.00 90.00
Space group Pm-3m (No. 221)
Asymmetric unit:
La  0.000  0.000  0.000 (multiplicity 1)
Zn  0.000  0.500  0.500 (multiplicity 3)
Te  0.500  0.500  0.500 (multiplicity 1)



Entry 17:
This record from Alexandria via LeMat-Bulk describes La5Zn2Te after structural relaxation. The functional is GGA-PBE.

Results
DFT total energy = -4.31 eV per atom
Total moment = 0.00 μB per cell

Lattice parameters (Å, degrees): 8.665 8.665 12.973 90.00 90.00 90.00
Space group I4/mcm (No. 140)
Asymmetric unit:
La  0.000  0.000  0.000 (multiplicity 4)
La  0.155  0.345  0.146 (multiplicity 16)
Zn  0.141  0.359  0.500 (multiplicity 8)
Te  0.000  0.000  0.250 (multiplicity 4)



Entry 18:
This record from Alexandria via LeMat-Bulk describes LaZnTe2 after structural relaxation. The functional is GGA-PBE.

Results
DFT total energy = -3.94 eV per atom
Total moment = 0.00 μB per cell

Lattice parameters (Å, degrees): 7.515 4.341 8.000 90.00 108.08 90.00
Space group C2/m (No. 12)
Asymmetric unit:
La  0.000  0.000  0.000 (multiplicity 2)
Zn  0.000  0.500  0.500 (multiplicity 2)
Te  0.245  0.000  0.731 (multiplicity 4)



Entry 19:
This record from Alexandria via LeMat-Bulk describes La2ZnTe2 after structural relaxation. The functional is GGA-PBE.

Results
Energy relative to the lowest polymorph listed for this composition = 3.9 kJ per mole of atoms
Total moment = 0.00 μB per cell

Lattice parameters (Å, degrees): 8.689 8.689 4.132 90.00 90.00 90.00
Space group P4/mbm (No. 127)
Asymmetric unit:
La  0.156  0.344  0.000 (multiplicity 4)
Zn  0.000  0.000  0.500 (multiplicity 2)
Te  0.144  0.644  0.500 (multiplicity 4)



Entry 20:
This record from Alexandria via LeMat-Bulk describes LaZn2Te2 after structural relaxation. The functional is GGA-PBE.

Results
Energy relative to the lowest polymorph listed for this composition = 0.0 kJ per mole of atoms
Total moment = 0.00 μB per cell

Lattice parameters (Å, degrees): 5.444 5.444 8.925 90.00 90.00 90.00
Space group I4/mmm (No. 139)
Asymmetric unit:
La  0.000  0.000  0.000 (multiplicity 2)
Zn  0.000  0.000  0.364 (multiplicity 4)
Te  0.000  0.500  0.250 (multiplicity 4)